[1]
VASP calculation (GGA-PBE) on crystalline Ca6Cd5Hg at its relaxed geometry.

Lattice parameters (Å, degrees): 5.447 16.304 7.589 90.00 90.00 90.00
Space group Cmmm (No. 65)
Unique sites:
Ca1 0.000 0.000 0.246 x4
Ca2 0.000 0.335 0.249 x8
Cd1 0.000 0.167 0.500 x4
Cd2 0.000 0.170 0.000 x4
Cd3 0.000 0.500 0.500 x2
Hg1 0.000 0.500 0.000 x2

Computed properties:
For the formation energy, the calculation gives -0.391 eV per atom. The value obtained for the total energy is -43.15 eV per cell. The total magnetization comes out at 0.00 μB per formula unit.

[2]
VASP calculation (GGA-PBE) on crystalline CaCd17Hg at its relaxed geometry.

Lattice parameters (Å, degrees): 10.2881 10.2881 15.1449 90.00 90.00 120.00
Space group R3m (No. 160, hexagonal axes)
Unique sites:
Ca1 0.0000 0.0000 0.0000 x3
Cd1 0.0000 0.0000 0.2292 x3
Cd2 0.0000 0.0000 0.4319 x3
Cd3 0.0026 0.3024 0.3243 x18
Cd4 0.1671 0.3342 0.1570 x9
Cd5 0.1672 0.3344 0.5134 x9
Cd6 0.1690 0.3380 0.8040 x9
Hg1 0.0000 0.0000 0.7867 x3

Computed properties:
For the formation energy, the calculation gives -0.040 eV per atom. The value obtained for the total energy is -55.83 eV per cell. The total magnetization comes out at 0.00 μB per formula unit.

[3]
VASP calculation (GGA-PBE) on crystalline CaCd7Hg4 at its relaxed geometry.

Lattice parameters (Å, degrees): 11.933 5.939 10.415 90.00 121.35 90.00
Space group C2/m (No. 12)
Unique sites:
Ca1 0.000 0.000 0.000 x2
Cd1 0.000 0.500 0.000 x2
Cd2 0.099 0.000 0.442 x4
Cd3 0.192 0.500 0.910 x4
Cd4 0.204 0.500 0.646 x4
Hg1 0.093 0.500 0.325 x4
Hg2 0.183 0.000 0.769 x4

Computed properties:
For the formation energy, the calculation gives 0.004 eV per atom. The value obtained for the total energy is -19.12 eV per cell. The total magnetization comes out at 0.00 μB per formula unit.

[4]
VASP calculation (GGA-PBE) on crystalline Ca2CdHg5 at its relaxed geometry.

Lattice parameters (Å, degrees): 9.192 9.474 6.540 90.00 133.66 90.00
Space group Cm (No. 8)
Unique sites:
Ca1 0.000 0.250 0.000 x4
Cd1 0.251 0.000 0.500 x2
Hg1 0.000 0.251 0.500 x4
Hg2 0.248 0.000 0.997 x2
Hg3 0.249 0.500 0.500 x2
Hg4 0.252 0.500 0.003 x2

Computed properties:
The distance to the lowest polymorph of the same formula comes out at 0.000 eV per atom. For the formation energy, the calculation gives -0.352 eV per atom. The value obtained for the total energy is -18.48 eV per cell. The total magnetization comes out at 0.00 μB per formula unit.

[5]
VASP calculation (GGA-PBE) on crystalline Ca2Cd16Hg at its relaxed geometry.

Lattice parameters (Å, degrees): 10.2336 10.2336 14.9628 90.00 90.00 120.00
Space group R3m (No. 160, hexagonal axes)
Unique sites:
Ca1 0.0000 0.0000 0.0000 x3
Ca2 0.0000 0.0000 0.3301 x3
Cd1 0.0000 0.0000 0.7628 x3
Cd2 0.0167 0.5084 0.8140 x9
Cd3 0.0325 0.3650 0.3328 x18
Cd4 0.1696 0.3392 0.5002 x9
Cd5 0.1735 0.3469 0.8514 x9
Hg1 0.0000 0.0000 0.5505 x3

Computed properties:
For the formation energy, the calculation gives -0.127 eV per atom. The value obtained for the total energy is -64.07 eV per cell. The total magnetization comes out at 0.00 μB per formula unit.

[6]
VASP calculation (GGA-PBE) on crystalline Ca5CdHg3 at its relaxed geometry.

Lattice parameters (Å, degrees): 9.5219 9.5219 6.7973 90.00 90.00 120.00
Space group P6_3/mcm (No. 193)
Unique sites:
Ca1 0.0000 0.2877 0.2500 x6
Ca2 0.3333 0.6667 0.0000 x4
Cd1 0.0000 0.0000 0.0000 x2
Hg1 0.0000 0.3793 0.7500 x6

Computed properties:
For the formation energy, the calculation gives -0.404 eV per atom. The value obtained for the total energy is -30.93 eV per cell. The total magnetization comes out at 0.00 μB per formula unit.

Which value of total magnetization does entry 4 give?
0.00 μB per formula unit

Which formula does entry 1 have?
Ca6Cd5Hg